A relaxed structure of Hf3Zr4Pa. Source: the Alexandria database, functional PBE.

Values from the calculation:
The energy of formation from the pure elements is 0.074 eV per atom. Its space-group type is P4/mmm (123). As for the total energy: -9.12 eV/atom.

Cell: 6.425 6.425 4.493 Å, 90.00 90.00 90.00°
Fractional coordinates of all 8 atoms:
Hf 0.000 0.000 0.000
Hf 0.000 0.500 0.000
Hf 0.500 0.000 0.000
Zr 0.248 0.248 0.500
Zr 0.248 0.752 0.500
Zr 0.752 0.248 0.500
Zr 0.752 0.752 0.500
Pa 0.500 0.500 0.000

=====

A relaxed structure of Hf2ZrPa6. Source: the Alexandria database, functional PBE.

Values from the calculation:
The energy of formation from the pure elements is 0.090 eV per atom. Its space-group type is C2/m (12). As for the total energy: -9.40 eV/atom.

Cell: 9.165 9.165 3.209 Å, 94.46 94.46 125.59°
Fractional coordinates of all 9 atoms:
Hf 0.162 0.838 0.000
Hf 0.838 0.162 0.000
Zr 0.000 0.000 0.500
Pa 0.172 0.506 0.668
Pa 0.335 0.335 0.179
Pa 0.494 0.828 0.332
Pa 0.506 0.172 0.668
Pa 0.665 0.665 0.821
Pa 0.828 0.494 0.332

=====

A relaxed structure of Hf5Zr4Pa. Source: the Alexandria database, functional PBE.

Values from the calculation:
The energy of formation from the pure elements is 0.065 eV per atom. Its space-group type is C2/m (12). As for the total energy: -9.28 eV/atom.

Cell: 7.823 7.823 10.156 Å, 107.78 107.78 22.97°
Fractional coordinates of all 10 atoms:
Hf 0.000 0.000 0.000
Hf 0.296 0.296 0.889
Hf 0.303 0.303 0.406
Hf 0.697 0.697 0.594
Hf 0.704 0.704 0.111
Zr 0.102 0.102 0.303
Zr 0.402 0.402 0.193
Zr 0.598 0.598 0.807
Zr 0.898 0.898 0.697
Pa 0.000 0.000 0.500

=====

A relaxed structure of Hf2Zr7Pa2. Source: the Alexandria database, functional PBE.

Values from the calculation:
The energy of formation from the pure elements is 0.124 eV per atom. Its space-group type is C2/c (15). As for the total energy: -8.85 eV/atom.

Cell: 5.773 5.773 16.227 Å, 98.12 98.12 99.11°
Fractional coordinates of all 22 atoms:
Hf 0.094 0.148 0.185
Hf 0.148 0.094 0.685
Hf 0.852 0.906 0.315
Hf 0.906 0.852 0.815
Zr 0.021 0.374 0.849
Zr 0.077 0.453 0.352
Zr 0.341 0.374 0.051
Zr 0.374 0.021 0.349
Zr 0.374 0.341 0.551
Zr 0.436 0.564 0.750
Zr 0.453 0.077 0.852
Zr 0.547 0.923 0.148
Zr 0.564 0.436 0.250
Zr 0.626 0.659 0.449
Zr 0.626 0.979 0.651
Zr 0.659 0.626 0.949
Zr 0.923 0.547 0.648
Zr 0.979 0.626 0.151
Pa 0.152 0.795 0.510
Pa 0.205 0.848 0.990
Pa 0.795 0.152 0.010
Pa 0.848 0.205 0.490

=====

A relaxed structure of HfZrPa2. Source: the Alexandria database, functional PBE.

Values from the calculation:
The energy of formation from the pure elements is 0.115 eV per atom. Its space-group type is P4/mmm (123). As for the total energy: -9.26 eV/atom.

Cell: 4.384 4.384 5.012 Å, 90.00 90.00 90.00°
Fractional coordinates of all 4 atoms:
Hf 0.000 0.000 0.000
Zr 0.500 0.500 0.000
Pa 0.000 0.500 0.500
Pa 0.500 0.000 0.500

=====

A relaxed structure of HfZrPa2. Source: the Alexandria database, functional PBE.

Values from the calculation:
The energy of formation from the pure elements is 0.117 eV per atom. Its space-group type is P4/mmm (123). As for the total energy: -9.26 eV/atom.

Cell: 3.092 3.092 10.052 Å, 90.00 90.00 90.00°
Fractional coordinates of all 4 atoms:
Hf 0.000 0.000 0.000
Zr 0.000 0.000 0.500
Pa 0.500 0.500 0.247
Pa 0.500 0.500 0.753

=====

A relaxed structure of HfZr2Pa5. Source: the Alexandria database, functional PBE.

Values from the calculation:
The energy of formation from the pure elements is 0.081 eV per atom. Its space-group type is Pbam (55). As for the total energy: -9.24 eV/atom.

Cell: 9.483 12.859 3.199 Å, 90.00 90.00 90.00°
Fractional coordinates of all 16 atoms:
Hf 0.000 0.000 0.000
Hf 0.500 0.500 0.000
Zr 0.234 0.116 0.500
Zr 0.266 0.616 0.500
Zr 0.734 0.384 0.500
Zr 0.766 0.884 0.500
Pa 0.000 0.500 0.000
Pa 0.003 0.743 0.000
Pa 0.242 0.871 0.500
Pa 0.258 0.371 0.500
Pa 0.497 0.243 0.000
Pa 0.500 0.000 0.000
Pa 0.503 0.757 0.000
Pa 0.742 0.629 0.500
Pa 0.758 0.129 0.500
Pa 0.997 0.257 0.000

=====

A relaxed structure of Hf2ZrPa2. Source: the Alexandria database, functional PBE.

Values from the calculation:
The energy of formation from the pure elements is 0.090 eV per atom. Its space-group type is C2/m (12). As for the total energy: -9.40 eV/atom.

Cell: 5.647 5.647 7.466 Å, 127.42 127.42 40.14°
Fractional coordinates of all 5 atoms:
Hf 0.199 0.199 0.300
Hf 0.801 0.801 0.700
Zr 0.000 0.000 0.500
Pa 0.392 0.392 0.095
Pa 0.608 0.608 0.905

=====

A relaxed structure of Hf4Pb. Source: the Alexandria database, functional PBE.

Values from the calculation:
The energy of formation from the pure elements is 1.392 eV per atom. Its space-group type is Pm-3m (221). As for the total energy: -7.31 eV/atom.

Cell: 5.271 5.271 5.271 Å, 90.00 90.00 90.00°
Fractional coordinates of all 5 atoms:
Hf 0.000 0.000 0.000
Hf 0.000 0.500 0.500
Hf 0.500 0.000 0.500
Hf 0.500 0.500 0.000
Pb 0.500 0.500 0.500

=====

A relaxed structure of HfPb. Source: the Alexandria database, functional PBE.

Values from the calculation:
The energy of formation from the pure elements is 1.054 eV per atom. Its space-group type is Pm-3n (223). As for the total energy: -5.78 eV/atom.

Cell: 8.097 8.097 8.097 Å, 90.00 90.00 90.00°
Fractional coordinates of all 12 atoms:
Hf 0.000 0.250 0.500
Hf 0.000 0.750 0.500
Hf 0.250 0.500 0.000
Hf 0.500 0.000 0.250
Hf 0.500 0.000 0.750
Hf 0.750 0.500 0.000
Pb 0.000 0.500 0.250
Pb 0.000 0.500 0.750
Pb 0.250 0.000 0.500
Pb 0.500 0.250 0.000
Pb 0.500 0.750 0.000
Pb 0.750 0.000 0.500

=====

A relaxed structure of Hf6Pb. Source: the Alexandria database, functional PBE.

Values from the calculation:
The energy of formation from the pure elements is 0.124 eV per atom. Its space-group type is P4/mmm (123). As for the total energy: -8.94 eV/atom.

Cell: 4.538 4.538 8.283 Å, 90.00 90.00 90.00°
Fractional coordinates of all 7 atoms:
Hf 0.000 0.000 0.000
Hf 0.000 0.500 0.258
Hf 0.000 0.500 0.742
Hf 0.500 0.000 0.258
Hf 0.500 0.000 0.742
Hf 0.500 0.500 0.000
Pb 0.000 0.000 0.500

=====

A relaxed structure of Hf5Pb. Source: the Alexandria database, functional PBE.

Values from the calculation:
The energy of formation from the pure elements is -0.028 eV per atom. Its space-group type is Cmmm (65). As for the total energy: -8.94 eV/atom.

Cell: 7.428 7.428 4.360 Å, 90.00 90.00 145.74°
Fractional coordinates of all 6 atoms:
Hf 0.000 0.000 0.000
Hf 0.173 0.827 0.500
Hf 0.329 0.671 0.000
Hf 0.671 0.329 0.000
Hf 0.827 0.173 0.500
Pb 0.500 0.500 0.500

=====

A relaxed structure of HfPb5. Source: the Alexandria database, functional PBE.

Values from the calculation:
The energy of formation from the pure elements is 0.143 eV per atom. Its space-group type is Cmmm (65). As for the total energy: -4.61 eV/atom.

Cell: 8.500 8.500 4.827 Å, 90.00 90.00 150.20°
Fractional coordinates of all 6 atoms:
Hf 0.000 0.000 0.000
Pb 0.163 0.837 0.500
Pb 0.350 0.650 0.000
Pb 0.500 0.500 0.500
Pb 0.650 0.350 0.000
Pb 0.837 0.163 0.500

=====

A relaxed structure of HfPb. Source: the Alexandria database, functional PBE.

Values from the calculation:
The energy of formation from the pure elements is 0.147 eV per atom. Its space-group type is Cmce (64). As for the total energy: -6.68 eV/atom.

Cell: 6.257 6.257 5.593 Å, 90.00 90.00 118.22°
Fractional coordinates of all 8 atoms:
Hf 0.170 0.830 0.751
Hf 0.330 0.670 0.251
Hf 0.670 0.330 0.749
Hf 0.830 0.170 0.249
Pb 0.164 0.336 0.750
Pb 0.336 0.164 0.250
Pb 0.664 0.836 0.750
Pb 0.836 0.664 0.250

=====

A relaxed structure of Hf3Pb. Source: the Alexandria database, functional PBE.

Values from the calculation:
The energy of formation from the pure elements is -0.011 eV per atom. Its space-group type is Pmmn (59). As for the total energy: -8.40 eV/atom.

Cell: 5.186 6.145 5.651 Å, 90.00 90.00 90.00°
Fractional coordinates of all 8 atoms:
Hf 0.250 0.000 0.144
Hf 0.250 0.250 0.658
Hf 0.250 0.500 0.144
Hf 0.750 0.000 0.856
Hf 0.750 0.500 0.856
Hf 0.750 0.750 0.342
Pb 0.250 0.750 0.652
Pb 0.750 0.250 0.348

=====

A relaxed structure of HfPb. Source: the Alexandria database, functional PBE.

Values from the calculation:
The energy of formation from the pure elements is 0.978 eV per atom. Its space-group type is F-43m (216). As for the total energy: -5.85 eV/atom.

Cell: 4.679 4.679 4.679 Å, 60.00 60.00 60.00°
Fractional coordinates of all 2 atoms:
Hf 0.000 0.000 0.000
Pb 0.750 0.750 0.750

=====

A relaxed structure of Hf3Pb. Source: the Alexandria database, functional PBE.

Values from the calculation:
The energy of formation from the pure elements is 0.033 eV per atom. Its space-group type is Imm2 (44). As for the total energy: -8.36 eV/atom.

Cell: 6.032 6.032 6.032 Å, 148.71 63.75 126.00°
Fractional coordinates of all 4 atoms:
Hf 0.000 0.000 0.000
Hf 0.394 0.641 0.753
Hf 0.888 0.641 0.247
Pb 0.487 0.987 0.500

=====

A relaxed structure of HfPb. Source: the Alexandria database, functional PBE.

Values from the calculation:
The energy of formation from the pure elements is 0.395 eV per atom. Its space-group type is Immm (71). As for the total energy: -6.44 eV/atom.

Cell: 8.256 8.256 8.256 Å, 148.50 145.10 47.72°
Fractional coordinates of all 6 atoms:
Hf 0.000 0.000 0.000
Hf 0.377 0.877 0.500
Hf 0.623 0.123 0.500
Pb 0.230 0.230 0.000
Pb 0.500 0.500 0.000
Pb 0.770 0.770 0.000

=====

A relaxed structure of Hf5Pb2. Source: the Alexandria database, functional PBE.

Values from the calculation:
The energy of formation from the pure elements is -0.012 eV per atom. Its space-group type is Cmcm (63). As for the total energy: -8.18 eV/atom.

Cell: 18.225 18.225 4.259 Å, 90.00 90.00 166.59°
Fractional coordinates of all 14 atoms:
Hf 0.030 0.970 0.750
Hf 0.179 0.821 0.250
Hf 0.250 0.750 0.750
Hf 0.394 0.606 0.250
Hf 0.468 0.532 0.750
Hf 0.532 0.468 0.250
Hf 0.606 0.394 0.750
Hf 0.750 0.250 0.250
Hf 0.821 0.179 0.750
Hf 0.970 0.030 0.250
Pb 0.096 0.904 0.250
Pb 0.312 0.688 0.250
Pb 0.688 0.312 0.750
Pb 0.904 0.096 0.750

=====

A relaxed structure of Hf3Pb. Source: the Alexandria database, functional PBE.

Values from the calculation:
The energy of formation from the pure elements is -0.011 eV per atom. Its space-group type is Cmcm (63). As for the total energy: -8.40 eV/atom.

Cell: 6.380 6.380 5.149 Å, 90.00 90.00 121.48°
Fractional coordinates of all 8 atoms:
Hf 0.167 0.319 0.750
Hf 0.172 0.828 0.750
Hf 0.319 0.167 0.250
Hf 0.681 0.833 0.750
Hf 0.828 0.172 0.250
Hf 0.833 0.681 0.250
Pb 0.332 0.668 0.250
Pb 0.668 0.332 0.750

=====

A relaxed structure of Hf7Pb3. Source: the Alexandria database, functional PBE.

Values from the calculation:
The energy of formation from the pure elements is -0.006 eV per atom. Its space-group type is C2/m (12). As for the total energy: -8.09 eV/atom.

Cell: 8.521 8.521 6.428 Å, 103.31 103.31 30.00°
Fractional coordinates of all 10 atoms:
Hf 0.000 0.000 0.000
Hf 0.204 0.204 0.610
Hf 0.394 0.394 0.189
Hf 0.406 0.406 0.693
Hf 0.594 0.594 0.307
Hf 0.606 0.606 0.811
Hf 0.796 0.796 0.390
Pb 0.000 0.000 0.500
Pb 0.193 0.193 0.121
Pb 0.807 0.807 0.879

=====

A relaxed structure of HfPb. Source: the Alexandria database, functional PBE.

Values from the calculation:
The energy of formation from the pure elements is 0.832 eV per atom. Its space-group type is I-43m (217). As for the total energy: -6.00 eV/atom.

Cell: 7.792 7.792 7.792 Å, 109.47 109.47 109.47°
Fractional coordinates of all 8 atoms:
Hf 0.000 0.000 0.764
Hf 0.000 0.764 0.000
Hf 0.236 0.236 0.236
Hf 0.764 0.000 0.000
Pb 0.000 0.000 0.394
Pb 0.000 0.394 0.000
Pb 0.394 0.000 0.000
Pb 0.606 0.606 0.606

=====

A relaxed structure of Hf4Pb. Source: the Alexandria database, functional PBE.

Values from the calculation:
The energy of formation from the pure elements is 0.441 eV per atom. Its space-group type is I4_1/amd (141). As for the total energy: -8.26 eV/atom.

Cell: 7.016 7.016 7.016 Å, 103.40 103.40 122.44°
Fractional coordinates of all 10 atoms:
Hf 0.248 0.308 0.560
Hf 0.248 0.687 0.940
Hf 0.308 0.248 0.060
Hf 0.313 0.752 0.560
Hf 0.687 0.248 0.440
Hf 0.692 0.752 0.940
Hf 0.752 0.313 0.060
Hf 0.752 0.692 0.440
Pb 0.125 0.875 0.250
Pb 0.875 0.125 0.750